Computed, not measured: Ba2CdAs3Pt4 after structural relaxation at the PBE level of DFT.

Cell and atoms, written as POSCAR:
```
Ba2CdAs3Pt4
1.0
4.608 0.000 0.000
0.000 4.608 0.000
0.000 0.000 10.450
Ba Cd As Pt
2 1 3 4
Cartesian
2.304 0.000 2.572 Ba
0.000 2.304 7.878 Ba
2.304 2.304 5.225 Cd
0.000 0.000 5.225 As
2.304 0.000 9.205 As
0.000 2.304 1.245 As
2.304 2.304 0.000 Pt
0.000 0.000 0.000 Pt
2.304 0.000 6.663 Pt
0.000 2.304 3.787 Pt
```

Output
Space group: P-4m2
Formation energy (eV/atom): -0.693